Record 1
# NaMgPa2O6

A relaxed structure of NaMgPa2O6 (GGA-PBE, the Alexandria database).

Structure (extended XYZ):
```
10
Lattice="-5.0335 1.7656 2.8999 -2.6548 -3.1977 4.4260 -0.1242 1.7297 5.8185" Properties=species:S:1:pos:R:3 pbc="T T T"
O -3.1926 0.1543 8.9350
O -5.5040 1.7711 7.5246
O -2.5920 -1.8752 6.2233
O -5.2896 0.3074 4.5706
O -5.5756 -1.3817 7.5535
O -2.2884 1.9552 6.3171
Na -3.7079 0.1413 6.2386
Pa -1.5858 0.0604 2.6682
Pa -5.4461 0.2075 9.1631
Mg -7.7902 0.2968 13.1071
```

Values from the calculation:
The value obtained for the total energy is -0.606 Ry/atom. For the calculated density, the calculation gives 7.0 g/cm3. The spin magnetization comes out at 1.00 Bohr magnetons per cell. The symmetry is R3 (146).

Record 2
# Na2MgPbO4

A relaxed structure of Na2MgPbO4 (GGA-PBE, the Alexandria database).

Structure (extended XYZ):
```
8
Lattice="-1.9121 -2.0959 -1.6690 -0.8848 -2.8909 4.6440 -4.1251 4.0736 -0.3897" Properties=species:S:1:pos:R:3 pbc="T T T"
Na -2.5049 0.5913 2.1272
Na -3.0186 0.9888 -1.0294
O -3.4444 2.4518 0.8670
O -2.0092 -0.8909 0.1748
O -4.9128 -0.0224 2.4105
O -1.5655 -1.2692 3.3873
Pb -1.3985 -2.4934 1.4875
Mg 0.0000 0.0000 0.0000
```

Values from the calculation:
The value obtained for the total energy is -0.376 Ry/atom. For the calculated density, the calculation gives 5.6 g/cm3. The spin magnetization comes out at 0.00 Bohr magnetons per cell. The symmetry is P2/m (10).

Record 3
# Na3MgPb3O8

A relaxed structure of Na3MgPb3O8 (GGA-PBE, the Alexandria database).

Structure (extended XYZ):
```
15
Lattice="6.6753 -0.0002 0.0001 -3.3379 5.7824 -0.0192 0.0002 -3.8338 5.6937" Properties=species:S:1:pos:R:3 pbc="T T T"
O 0.0001 -0.0550 3.9618
O 5.0666 -0.9913 1.7232
O 1.6087 -0.9912 1.7231
O 3.3377 0.0146 4.1358
O 3.3376 2.0034 1.7127
O 1.7289 2.9396 3.9515
O -1.7290 2.9397 3.9514
O -0.0001 1.9338 1.5388
Na 1.6687 2.8911 -0.0096
Na -1.6689 2.8912 -0.0096
Na 0.0000 0.0000 0.0000
Mg 0.0001 -1.9169 2.8469
Pb 3.3377 -1.9170 2.8469
Pb 1.6688 0.9742 2.8373
Pb -1.6688 0.9743 2.8373
```

Values from the calculation:
The value obtained for the total energy is -0.375 Ry/atom. For the calculated density, the calculation gives 6.4 g/cm3. The spin magnetization comes out at 0.00 Bohr magnetons per cell. The symmetry is R-3m (166).

Record 4
# NaMgPbO4

A relaxed structure of NaMgPbO4 (GGA-PBE, the Alexandria database).

Structure (extended XYZ):
```
14
Lattice="6.0557 0.0000 0.0000 3.0279 5.7794 0.0023 3.0279 1.7629 5.5040" Properties=species:S:1:pos:R:3 pbc="T T T"
Na 4.5418 0.8815 2.7520
Na 1.5139 0.8815 2.7520
O 6.0557 5.7268 4.2794
O 7.6238 2.7816 4.1392
O 9.0836 5.4928 4.1086
O 6.0557 1.8155 1.2269
O 3.0278 2.0495 1.3977
O 4.4876 4.7607 1.3671
O 4.4876 2.7816 4.1392
O 7.6238 4.7607 1.3671
Pb 0.0000 0.0000 0.0000
Pb 3.0279 3.7712 2.7532
Mg 6.0557 3.8135 4.8925
Mg 6.0557 3.7288 0.6138
```

Values from the calculation:
The value obtained for the total energy is -0.375 Ry/atom. For the calculated density, the calculation gives 5.5 g/cm3. The spin magnetization comes out at 2.05 Bohr magnetons per cell. The symmetry is Imma (74).

Record 5
# NaMgPb2O6

A relaxed structure of NaMgPb2O6 (GGA-PBE, the Alexandria database).

Structure (extended XYZ):
```
10
Lattice="-4.1908 1.8671 3.2136 -1.6940 -2.9997 4.4169 1.3329 2.0298 5.4428" Properties=species:S:1:pos:R:3 pbc="T T T"
O -4.6018 0.4103 6.9348
O -2.6003 0.9096 4.2446
O -1.7936 0.1509 8.4753
O -0.2797 0.6700 6.3236
O -2.2307 -1.8771 6.1381
O -2.1934 2.3964 7.0650
Pb 1.1872 1.9233 5.3147
Pb -2.5318 0.2617 6.3114
Mg -1.7775 -0.2428 2.7058
Na -3.9266 0.2981 9.3535
```

Values from the calculation:
The value obtained for the total energy is -0.382 Ry/atom. For the calculated density, the calculation gives 6.8 g/cm3. The spin magnetization comes out at 1.08 Bohr magnetons per cell. The symmetry is R3 (146).

Record 6
# Na3MgPd3O8

A relaxed structure of Na3MgPd3O8 (GGA-PBE, the Alexandria database).

Structure (extended XYZ):
```
15
Lattice="-5.1743 0.6684 -3.2226 3.5081 -5.1122 -0.8580 -3.3685 0.4838 5.5087" Properties=species:S:1:pos:R:3 pbc="T T T"
Mg -1.6842 0.2419 2.7543
Na -0.8331 -2.2219 -2.0403
Na 1.7540 -2.5561 -0.4290
Na 0.0000 0.0000 0.0000
O -2.3075 0.0764 0.7752
O -4.5200 -1.7264 1.0648
O -0.5147 -2.2336 0.3632
O -2.7272 -4.0364 0.6528
O -3.1185 -2.0925 -1.2613
O -4.8697 0.4074 -0.8205
O -0.1651 -4.3674 2.2486
O -1.9162 -1.8675 2.6894
Pd -4.2714 0.5761 1.1430
Pd -2.5174 -1.9800 0.7140
Pd 0.0698 -2.3142 2.3253
```

Values from the calculation:
The value obtained for the total energy is -0.377 Ry/atom. For the calculated density, the calculation gives 4.9 g/cm3. The spin magnetization comes out at 1.02 Bohr magnetons per cell. The symmetry is C2/m (12).